Record 1
Entry from Alexandria: Ge2BC after structural relaxation (GGA-PBE).

abc: 4.767 4.767 5.767
angles: 65.59 65.59 90.00
Fractional positions:
Ge 0.637 0.125 0.250
Ge 0.113 0.625 0.250
Ge 0.375 0.363 0.750
Ge 0.875 0.887 0.750
B 0.500 0.500 0.000
B 0.250 0.750 0.500
C 0.000 0.000 0.000
C 0.750 0.250 0.500

As for the offset from the most stable computed form: 0.000 eV per atom. The calculation puts the formation energy at 0.531 eV/atom.

---

Record 2
Entry from Alexandria: ErScSb after structural relaxation (GGA-PBE).

abc: 3.854 4.856 4.856
angles: 120.00 90.00 90.00
Fractional positions:
Sc 0.108 0.000 0.000
Sb 0.258 0.333 0.667
Er 0.634 0.667 0.333

---

Record 3
Entry from Alexandria: CaMg2Re after structural relaxation (GGA-PBE).

abc: 6.072 6.072 6.072
angles: 151.06 128.97 59.73
Fractional positions:
Ca 0.271 0.771 0.500
Mg 0.988 0.988 0.000
Mg 0.727 0.227 0.500
Re 0.514 0.514 0.000

As for the offset from the most stable computed form: 0.106 eV per atom. The calculation puts the formation energy at 0.516 eV/atom.

---

Record 4
Entry from Alexandria: KLaIN2 after structural relaxation (GGA-PBE).

abc: 4.827 4.827 5.787
angles: 90.00 90.00 90.00
Fractional positions:
I 0.000 0.000 0.500
K 0.000 0.000 0.000
N 0.000 0.500 0.000
N 0.500 0.000 0.000
La 0.500 0.500 0.500

As for the offset from the most stable computed form: 1.136 eV per atom.

---

Record 5
Entry from Alexandria: KRb2GaSn2 after structural relaxation (GGA-PBE).

abc: 4.464 11.900 9.111
angles: 90.00 90.00 90.00
Fractional positions:
K 0.000 0.030 0.487
K 0.000 0.530 0.513
Rb 0.500 0.018 0.128
Rb 0.000 0.350 0.197
Rb 0.500 0.518 0.872
Rb 0.000 0.850 0.803
Ga 0.500 0.101 0.756
Ga 0.500 0.601 0.244
Sn 0.000 0.274 0.783
Sn 0.500 0.272 0.551
Sn 0.000 0.774 0.217
Sn 0.500 0.772 0.449

The calculation puts the formation energy at -0.137 eV/atom.

---

no.,DFT total energy (eV per atom)
1,-5.753
2,-5.451
3,-3.894
4,-3.684
5,-2.481